Dy5Tm7: optimized geometry, GGA-PBE.

POSCAR file:
```
Dy5Tm7
1.0
4.797 -2.765 0.000
4.797 2.765 0.000
-3.194 0.000 14.114
Dy Tm
5 7
Direct
0.000 0.000 0.000
0.146 0.146 0.438
0.399 0.399 0.194
0.601 0.601 0.806
0.854 0.854 0.562
0.072 0.072 0.213
0.224 0.224 0.673
0.307 0.307 0.922
0.500 0.500 0.500
0.693 0.693 0.078
0.776 0.776 0.327
0.928 0.928 0.787
```

Output
For the mass density, the calculation gives 8.85 g/cm³. As for the symmetry: C2/m. As for the energy above the most stable polymorph in this dataset: 195 meV per atom.

DyTm3: optimized geometry, GGA-PBE.

POSCAR file:
```
DyTm3
1.0
4.943 0.000 0.000
0.000 4.943 0.000
0.000 0.000 4.943
Dy Tm
1 3
Direct
0.000 0.000 0.000
0.000 0.500 0.500
0.500 0.000 0.500
0.500 0.500 0.000
```

Output
For the mass density, the calculation gives 9.20 g/cm³. As for the symmetry: Pm-3m. As for the energy above the most stable polymorph in this dataset: 28 meV per atom.

Dy6Tm: optimized geometry, GGA-PBE.

POSCAR file:
```
Dy6Tm
1.0
-3.995 3.995 3.995
3.995 -3.995 3.995
3.995 3.995 -3.995
Dy Tm
6 1
Direct
0.250 0.500 0.750
0.250 0.750 0.500
0.500 0.250 0.750
0.500 0.750 0.250
0.750 0.250 0.500
0.750 0.500 0.250
0.000 0.000 0.000
```

Output
For the mass density, the calculation gives 7.45 g/cm³. As for the symmetry: Im-3m. As for the energy above the most stable polymorph in this dataset: 1262 meV per atom.

Dy3Tm5: optimized geometry, GGA-PBE.

POSCAR file:
```
Dy3Tm5
1.0
3.581 0.000 0.000
0.000 5.547 0.000
0.000 0.000 12.401
Dy Tm
3 5
Direct
0.000 0.000 0.000
0.000 0.500 0.170
0.500 0.000 0.253
0.000 0.000 0.504
0.000 0.500 0.669
0.500 0.000 0.751
0.500 0.500 0.421
0.500 0.500 0.917
```

Output
For the mass density, the calculation gives 8.98 g/cm³. As for the symmetry: Pmm2.

Dy7Tm3: optimized geometry, GGA-PBE.

POSCAR file:
```
Dy7Tm3
1.0
10.794 0.000 0.000
-5.397 9.348 0.000
0.000 0.000 6.241
Dy Tm
14 6
Direct
0.058 0.529 0.000
0.118 0.237 0.147
0.118 0.882 0.147
0.237 0.118 0.647
0.333 0.667 0.261
0.471 0.529 0.000
0.471 0.942 0.000
0.529 0.058 0.500
0.529 0.471 0.500
0.667 0.333 0.761
0.763 0.882 0.147
0.882 0.118 0.647
0.882 0.763 0.647
0.942 0.471 0.500
0.214 0.427 0.636
0.214 0.786 0.636
0.427 0.214 0.136
0.573 0.786 0.636
0.786 0.214 0.136
0.786 0.573 0.136
```

Output
For the mass density, the calculation gives 8.67 g/cm³. As for the symmetry: P6_3mc. As for the energy above the most stable polymorph in this dataset: 185 meV per atom.

Dy8Tm3: optimized geometry, GGA-PBE.

POSCAR file:
```
Dy8Tm3
1.0
6.138 3.544 2.805
-6.138 3.544 2.805
0.000 -7.088 2.805
Dy Tm
8 3
Direct
0.191 0.531 0.681
0.248 0.248 0.248
0.319 0.809 0.469
0.469 0.319 0.809
0.531 0.681 0.191
0.681 0.191 0.531
0.752 0.752 0.752
0.809 0.469 0.319
0.000 0.000 0.500
0.000 0.500 0.000
0.500 0.000 0.000
```

Output
For the mass density, the calculation gives 8.19 g/cm³. As for the symmetry: R-3. As for the energy above the most stable polymorph in this dataset: 0 meV per atom.

DyTm: optimized geometry, GGA-PBE.

POSCAR file:
```
DyTm
1.0
3.499 0.000 0.000
0.000 4.965 0.000
0.000 0.000 7.016
Dy Tm
2 2
Direct
0.250 0.250 0.126
0.750 0.750 0.874
0.250 0.250 0.624
0.750 0.750 0.376
```

Output
For the mass density, the calculation gives 9.03 g/cm³. As for the symmetry: Pmmn. As for the energy above the most stable polymorph in this dataset: 0 meV per atom.

Dy4Tm: optimized geometry, GGA-PBE.

POSCAR file:
```
Dy4Tm
1.0
-2.234 2.234 8.260
2.234 -2.234 8.260
2.234 2.234 -8.260
Dy Tm
4 1
Direct
0.093 0.093 0.000
0.250 0.750 0.500
0.750 0.250 0.500
0.907 0.907 0.000
0.500 0.500 0.000
```

Output
For the mass density, the calculation gives 8.25 g/cm³. As for the symmetry: I4/mmm. As for the energy above the most stable polymorph in this dataset: 359 meV per atom.

Dy2Tm13: optimized geometry, GGA-PBE.

POSCAR file:
```
Dy2Tm13
1.0
6.481 0.000 0.000
1.359 8.478 0.000
0.849 3.048 8.261
Dy Tm
2 13
Direct
0.198 0.305 0.397
0.802 0.695 0.603
0.000 0.500 0.000
0.096 0.927 0.692
0.135 0.697 0.267
0.238 0.076 0.976
0.334 0.499 0.668
0.429 0.924 0.359
0.465 0.697 0.934
0.535 0.303 0.066
0.571 0.076 0.641
0.666 0.501 0.332
0.762 0.924 0.024
0.865 0.303 0.733
0.904 0.073 0.308
```

Output
For the mass density, the calculation gives 9.22 g/cm³. As for the symmetry: P-1. As for the energy above the most stable polymorph in this dataset: 0 meV per atom.

Dy5Tm6: optimized geometry, GGA-PBE.

POSCAR file:
```
Dy5Tm6
1.0
4.470 -6.429 0.000
4.470 6.429 0.000
-1.853 0.000 5.965
Dy Tm
5 6
Direct
0.000 0.000 0.000
0.129 0.871 0.500
0.260 0.740 0.000
0.740 0.260 0.000
0.871 0.129 0.500
0.191 0.453 0.328
0.336 0.336 0.811
0.453 0.191 0.328
0.547 0.809 0.672
0.664 0.664 0.189
0.809 0.547 0.672
```

Output
For the mass density, the calculation gives 8.84 g/cm³. As for the symmetry: C2/m.

Dy2Tm13: optimized geometry, GGA-PBE.

POSCAR file:
```
Dy2Tm13
1.0
4.389 2.534 7.786
-4.389 2.534 7.786
0.000 -5.068 7.786
Dy Tm
2 13
Direct
0.241 0.241 0.241
0.759 0.759 0.759
0.013 0.013 0.654
0.013 0.654 0.013
0.242 0.242 0.607
0.242 0.607 0.242
0.346 0.987 0.987
0.393 0.758 0.758
0.500 0.500 0.500
0.607 0.242 0.242
0.654 0.013 0.013
0.758 0.393 0.758
0.758 0.758 0.393
0.987 0.346 0.987
0.987 0.987 0.346
```

Output
For the mass density, the calculation gives 8.06 g/cm³. As for the symmetry: R-3m. As for the energy above the most stable polymorph in this dataset: 555 meV per atom.

Dy5Tm2: optimized geometry, GGA-PBE.

POSCAR file:
```
Dy5Tm2
1.0
3.514 0.000 0.000
-1.757 7.678 0.000
-0.028 -3.239 7.989
Dy Tm
5 2
Direct
0.000 0.000 0.000
0.143 0.286 0.428
0.428 0.856 0.285
0.572 0.144 0.715
0.857 0.714 0.572
0.286 0.571 0.858
0.714 0.429 0.142
```

Output
For the mass density, the calculation gives 8.86 g/cm³. As for the symmetry: P-1. As for the energy above the most stable polymorph in this dataset: 18 meV per atom.

DyTm3: optimized geometry, GGA-PBE.

POSCAR file:
```
DyTm3
1.0
-1.787 5.542 3.090
1.787 -5.542 3.090
1.787 5.542 -3.090
Dy Tm
1 3
Direct
0.000 0.000 0.000
0.417 0.666 0.751
0.499 0.999 0.500
0.916 0.666 0.249
```

Output
For the mass density, the calculation gives 9.08 g/cm³. As for the symmetry: Imm2. As for the energy above the most stable polymorph in this dataset: 0 meV per atom.

DyTm3: optimized geometry, GGA-PBE.

POSCAR file:
```
DyTm3
1.0
-2.470 2.470 4.942
2.470 -2.470 4.942
2.470 2.470 -4.942
Dy Tm
1 3
Direct
0.000 0.000 0.000
0.250 0.750 0.500
0.500 0.500 0.000
0.750 0.250 0.500
```

Output
For the mass density, the calculation gives 9.21 g/cm³. As for the symmetry: I4/mmm. As for the energy above the most stable polymorph in this dataset: 28 meV per atom.

Dy8Tm: optimized geometry, GGA-PBE.

POSCAR file:
```
Dy8Tm
1.0
-5.296 5.296 2.491
5.296 -5.296 2.491
5.296 5.296 -2.491
Dy Tm
8 1
Direct
0.000 0.333 0.333
0.000 0.667 0.667
0.333 0.000 0.333
0.334 0.334 0.667
0.334 0.666 0.000
0.666 0.334 0.000
0.666 0.666 0.333
0.667 0.000 0.667
0.000 0.000 0.000
```

Output
For the mass density, the calculation gives 8.73 g/cm³. As for the symmetry: I4/mmm.

DyTm5: optimized geometry, GGA-PBE.

POSCAR file:
```
DyTm5
1.0
3.027 -5.220 0.000
3.027 5.220 0.000
-2.016 0.000 5.707
Dy Tm
1 5
Direct
0.000 0.000 0.000
0.167 0.833 0.500
0.333 0.667 0.000
0.500 0.500 0.500
0.667 0.333 0.000
0.833 0.167 0.500
```

Output
For the mass density, the calculation gives 9.27 g/cm³. As for the symmetry: C2/m. As for the energy above the most stable polymorph in this dataset: 29 meV per atom.

Dy4Tm3: optimized geometry, GGA-PBE.

POSCAR file:
```
Dy4Tm3
1.0
5.542 -2.484 0.000
5.542 2.484 0.000
-1.121 0.000 7.772
Dy Tm
4 3
Direct
0.143 0.143 0.428
0.286 0.286 0.858
0.714 0.714 0.142
0.857 0.857 0.572
0.000 0.000 0.000
0.429 0.429 0.286
0.571 0.571 0.714
```

Output
For the mass density, the calculation gives 8.98 g/cm³. As for the symmetry: C2/m.

DyTm5: optimized geometry, GGA-PBE.

POSCAR file:
```
DyTm5
1.0
2.468 -7.412 0.000
2.468 7.412 0.000
0.000 0.000 4.929
Dy Tm
1 5
Direct
0.000 0.000 0.000
0.167 0.833 0.500
0.333 0.667 0.000
0.500 0.500 0.500
0.667 0.333 0.000
0.833 0.167 0.500
```

Output
For the mass density, the calculation gives 9.27 g/cm³. As for the symmetry: Cmmm. As for the energy above the most stable polymorph in this dataset: 28 meV per atom.

Dy6Tm: optimized geometry, GGA-PBE.

POSCAR file:
```
Dy6Tm
1.0
6.436 0.000 0.000
0.000 6.436 0.000
0.000 0.000 10.958
Dy Tm
12 2
Direct
0.082 0.582 0.138
0.082 0.918 0.862
0.250 0.250 0.361
0.250 0.250 0.639
0.418 0.582 0.862
0.418 0.918 0.138
0.582 0.082 0.862
0.582 0.418 0.138
0.750 0.750 0.361
0.750 0.750 0.639
0.918 0.082 0.138
0.918 0.418 0.862
0.250 0.750 0.500
0.750 0.250 0.500
```

Output
For the mass density, the calculation gives 8.37 g/cm³. As for the symmetry: P4/nbm. As for the energy above the most stable polymorph in this dataset: 0 meV per atom.

Dy2Tm17: optimized geometry, GGA-PBE.

POSCAR file:
```
Dy2Tm17
1.0
5.503 3.177 5.780
-5.503 3.177 5.780
0.000 -6.355 5.780
Dy Tm
2 17
Direct
0.177 0.177 0.177
0.823 0.823 0.823
0.000 0.500 0.500
0.133 0.133 0.647
0.133 0.647 0.133
0.200 0.500 0.800
0.200 0.800 0.500
0.353 0.867 0.867
0.401 0.401 0.401
0.500 0.000 0.500
0.500 0.200 0.800
0.500 0.500 0.000
0.500 0.800 0.200
0.599 0.599 0.599
0.647 0.133 0.133
0.800 0.200 0.500
0.800 0.500 0.200
0.867 0.353 0.867
0.867 0.867 0.353
```

Output
For the mass density, the calculation gives 8.75 g/cm³. As for the symmetry: R-3m.

Dy6Tm5: optimized geometry, GGA-PBE.

POSCAR file:
```
Dy6Tm5
1.0
4.558 -6.429 0.000
4.558 6.429 0.000
-1.890 0.000 5.873
Dy Tm
6 5
Direct
0.046 0.316 0.666
0.171 0.171 0.178
0.316 0.046 0.666
0.684 0.954 0.334
0.829 0.829 0.822
0.954 0.684 0.334
0.241 0.759 0.000
0.373 0.627 0.500
0.500 0.500 0.000
0.627 0.373 0.500
0.759 0.241 0.000
```

Output
For the mass density, the calculation gives 8.78 g/cm³. As for the symmetry: C2/m.

DyTm3: optimized geometry, GGA-PBE.

POSCAR file:
```
DyTm3
1.0
3.573 0.000 0.000
0.000 5.531 0.000
0.000 0.000 6.188
Dy Tm
1 3
Direct
0.000 0.000 0.000
0.000 0.500 0.335
0.500 0.000 0.501
0.500 0.500 0.834
```

Output
For the mass density, the calculation gives 9.09 g/cm³. As for the symmetry: Pmm2. As for the energy above the most stable polymorph in this dataset: 0 meV per atom.

Dy5Tm2: optimized geometry, GGA-PBE.

POSCAR file:
```
Dy5Tm2
1.0
7.768 -3.114 0.000
7.768 3.114 0.000
-0.974 0.000 9.061
Dy Tm
10 4
Direct
0.025 0.691 0.036
0.120 0.452 0.679
0.167 0.833 0.750
0.309 0.975 0.464
0.452 0.120 0.179
0.548 0.880 0.821
0.691 0.025 0.536
0.833 0.167 0.250
0.880 0.548 0.321
0.975 0.309 0.964
0.263 0.595 0.393
0.405 0.737 0.107
0.595 0.263 0.893
0.737 0.405 0.607
```

Output
For the mass density, the calculation gives 8.72 g/cm³. As for the symmetry: C2/c. As for the energy above the most stable polymorph in this dataset: 0 meV per atom.

no.,calculated formation energy (meV/atom)
1,200
2,26
3,1533
4,0
5,202
6,404
7,21
8,379
9,55
10,143
11,609
12,20
13,-1
14,26
15,19
16,26
17,22
18,25
19,271
20,291
21,142
22,-2
23,2